Entry from Alexandria via LeMat-Bulk: Rb3CuBi after structural relaxation (PBE).

* spin magnetization: 1.00 Bohr magnetons per cell
* formation energy from the elements: 0.199 eV/atom
* raw total energy: -9.9 eV/cell
* volume: 257.5 Å³ per cell

Unit cell a=6.362 b=6.362 c=6.362 alpha=90.00 beta=90.00 gamma=90.00
Space group Pm-3m (No. 221)
One atom of each set of equivalent atoms:
Rb1 0.000 0.000 0.500 x3
Cu1 0.000 0.000 0.000 x1
Bi1 0.500 0.500 0.500 x1

---

Entry from Alexandria via LeMat-Bulk: Rb2Cu2Bi after structural relaxation (PBE).

* spin magnetization: 0.00 Bohr magnetons per cell
* formation energy from the elements: 0.148 eV/atom
* raw total energy: -26.5 eV/cell
* volume: 301.3 Å³ per cell

Unit cell a=7.284 b=7.284 c=5.680 alpha=90.00 beta=90.00 gamma=90.00
Space group P4/mbm (No. 127)
One atom of each set of equivalent atoms:
Rb1 0.184 0.316 0.000 x4
Cu1 0.121 0.621 0.500 x4
Bi1 0.000 0.000 0.500 x2

---

Entry from Alexandria via LeMat-Bulk: RbCu2Bi2 after structural relaxation (PBE).

* spin magnetization: 0.00 Bohr magnetons per cell
* formation energy from the elements: 0.223 eV/atom
* raw total energy: -31.6 eV/cell
* volume: 263.9 Å³ per cell

Unit cell a=9.002 b=9.002 c=3.257 alpha=90.00 beta=90.00 gamma=90.00
Space group P4/mbm (No. 127)
One atom of each set of equivalent atoms:
Rb1 0.000 0.000 0.000 x2
Cu1 0.130 0.370 0.500 x4
Bi1 0.141 0.641 0.000 x4

---

Entry from Alexandria via LeMat-Bulk: RbCuBi after structural relaxation (PBE).

* spin magnetization: 0.00 Bohr magnetons per cell
* formation energy from the elements: -0.042 eV/atom
* raw total energy: -9.1 eV/cell
* volume: 105.2 Å³ per cell

Unit cell a=4.5722 b=4.5722 c=5.8083 alpha=90.00 beta=90.00 gamma=120.00
Space group P-6m2 (No. 187)
One atom of each set of equivalent atoms:
Rb1 0.0000 0.0000 0.0000 x1
Cu1 0.6667 0.3333 0.5000 x1
Bi1 0.3333 0.6667 0.5000 x1

---

Entry from Alexandria via LeMat-Bulk: RbCuBiS2 after structural relaxation (PBE).

* spin magnetization: 0.00 Bohr magnetons per cell
* formation energy without anion corrections: -470 meV per atom
* raw total energy: -39.1 eV/cell
* volume: 289.4 Å³ per cell

Unit cell a=7.669 b=4.452 c=8.586 alpha=90.00 beta=99.18 gamma=90.00
Space group P2/c (No. 13)
One atom of each set of equivalent atoms:
Rb1 0.000 0.183 0.250 x2
Cu1 0.500 0.000 0.000 x2
Bi1 0.500 0.467 0.750 x2
S1 0.273 0.309 0.972 x4

---

Entry from Alexandria via LeMat-Bulk: Rb2Cu2BiS4 after structural relaxation (PBE).

* spin magnetization: 0.00 Bohr magnetons per cell
* formation energy without anion corrections: -617 meV per atom
* raw total energy: -72.1 eV/cell
* volume: 443.8 Å³ per cell

Unit cell a=15.054 b=3.980 c=7.884 alpha=90.00 beta=110.01 gamma=90.00
Space group C2/m (No. 12)
One atom of each set of equivalent atoms:
Rb1 0.132 0.000 0.048 x4
Cu1 0.188 0.500 0.489 x4
Bi1 0.000 0.000 0.500 x2
S1 0.030 0.500 0.273 x4
S2 0.202 0.000 0.663 x4